[1]
Density functional theory data (GGA-PBE) for crystalline Fe2PtBr at its relaxed geometry.

a = 3.0217 Å, b = 4.8211 Å, c = 9.2277 Å
α = 90.00°, β = 90.00°, γ = 90.00°
Last column: nearest neighbours and their distance in Å.
Space group Cmm2 (No. 35)
Unique sites:
Fe1 0.0000 0.0000 0.0000 (multiplicity 2)  2 Fe 2.41, 2 Pt 2.55
Fe2 0.0000 0.5000 0.2033 (multiplicity 2)  2 Fe 2.41, 2 Br 2.55
Pt1 0.0000 0.5000 0.7770 (multiplicity 2)  2 Fe 2.55, 4 Pt 2.84
Br1 0.0000 0.0000 0.4266 (multiplicity 2)  2 Fe 2.55, 4 Br 2.84

Energy above the most stable polymorph in this dataset = 0.256 eV/atom
Formation energy from raw total energies = 0.38 eV/atom

[2]
Density functional theory data (GGA-PBE) for crystalline Fe2PtBr at its relaxed geometry.

a = 2.9562 Å, b = 4.5607 Å, c = 9.4031 Å
α = 90.00°, β = 90.00°, γ = 90.00°
Last column: nearest neighbours and their distance in Å.
Space group Imm2 (No. 44)
Unique sites:
Fe1 0.0000 0.0000 0.0000 (multiplicity 2)  2 Fe 2.47, 4 Br 2.76
Fe2 0.0000 0.5000 0.2894 (multiplicity 2)  2 Fe 2.47, 2 Br 2.70, 4 Pt 2.74
Pt1 0.0000 0.5000 0.7561 (multiplicity 2)  6 Fe 2.74-2.83, 2 Pt 2.96, 2 Br 3.00
Br1 0.0000 0.0000 0.5489 (multiplicity 2)  6 Fe 2.70-2.76, 2 Br 2.96, 2 Pt 3.00

Energy above the most stable polymorph in this dataset = 0.349 eV/atom
Formation energy from raw total energies = 0.48 eV/atom

[3]
Density functional theory data (GGA-PBE) for crystalline FePtBr2 at its relaxed geometry.

a = 3.4964 Å, b = 3.9440 Å, c = 14.4071 Å
α = 90.00°, β = 90.00°, γ = 90.00°
Last column: nearest neighbours and their distance in Å.
Space group Imm2 (No. 44)
Unique sites:
Fe1 0.0000 0.0000 0.0000 (multiplicity 2)  2 Pt 2.54
Pt1 0.0000 0.5000 0.6276 (multiplicity 2)  2 Fe 2.54, 4 Br 2.68
Br1 0.0000 0.0000 0.4232 (multiplicity 2)  4 Fe 2.86
Br2 0.0000 0.5000 0.1600 (multiplicity 2)  4 Pt 2.68

Energy above the most stable polymorph in this dataset = 0.309 eV/atom
Formation energy from raw total energies = 0.27 eV/atom

[4]
Density functional theory data (GGA-PBE) for crystalline FePtBr2 at its relaxed geometry.

a = 3.6227 Å, b = 3.6227 Å, c = 25.4273 Å
α = 90.00°, β = 90.00°, γ = 120.00°
Last column: nearest neighbours and their distance in Å.
Space group R3m (No. 160, hexagonal axes)
Unique sites:
Fe1 0.0000 0.0000 0.0000 (multiplicity 3)  3 Pt 2.50, 3 Br 2.66
Pt1 0.0000 0.0000 0.7202 (multiplicity 3)  3 Fe 2.50, 3 Br 2.73
Br1 0.0000 0.0000 0.2688 (multiplicity 3)  3 Fe 2.66
Br2 0.0000 0.0000 0.4556 (multiplicity 3)  3 Pt 2.73

Energy above the most stable polymorph in this dataset = 0.001 eV/atom
Formation energy from raw total energies = -0.04 eV/atom

[5]
Density functional theory data (GGA-PBE) for crystalline FePtBr3 at its relaxed geometry.

a = 5.1521 Å, b = 5.1521 Å, c = 5.1521 Å
α = 90.00°, β = 90.00°, γ = 90.00°
Last column: nearest neighbours and their distance in Å.
Space group Pm-3m (No. 221)
Unique sites:
Fe1 0.0000 0.0000 0.0000 (multiplicity 1)  12 Br 3.64
Pt1 0.5000 0.5000 0.5000 (multiplicity 1)  6 Br 2.58
Br1 0.0000 0.5000 0.5000 (multiplicity 3)  2 Pt 2.58

Energy above the most stable polymorph in this dataset = 0.000 eV/atom
Formation energy from raw total energies = 0.53 eV/atom

[6]
Density functional theory data (GGA-PBE) for crystalline FePtBr4 at its relaxed geometry.

a = 8.4872 Å, b = 8.4872 Å, c = 8.4872 Å
α = 90.00°, β = 90.00°, γ = 90.00°
Last column: nearest neighbours and their distance in Å.
Space group F-43m (No. 216)
Unique sites:
Fe1 0.0000 0.0000 0.0000 (multiplicity 4)  12 Br 3.52, 4 Pt 3.68
Pt1 0.2500 0.2500 0.7500 (multiplicity 4)  12 Br 3.52, 4 Fe 3.68
Br1 0.1250 0.1250 0.3750 (multiplicity 16)  6 Br 3.00

Formation energy from raw total energies = 1.40 eV/atom

[7]
Density functional theory data (GGA-PBE) for crystalline FePtBr2 at its relaxed geometry.

a = 3.1885 Å, b = 6.4042 Å, c = 8.2812 Å
α = 90.00°, β = 90.00°, γ = 90.00°
Last column: nearest neighbours and their distance in Å.
Space group Cmmm (No. 65)
Unique sites:
Fe1 0.0000 0.0000 0.0000 (multiplicity 2)  4 Br 2.49
Pt1 0.0000 0.0000 0.5000 (multiplicity 2)  4 Br 2.74
Br1 0.0000 0.5000 0.2316 (multiplicity 4)  2 Fe 2.49, 2 Pt 2.74

Energy above the most stable polymorph in this dataset = 0.584 eV/atom
Formation energy from raw total energies = 0.54 eV/atom

[8]
Density functional theory data (GGA-PBE) for crystalline FePtBr2 at its relaxed geometry.

a = 5.9059 Å, b = 5.9059 Å, c = 11.3338 Å
α = 90.00°, β = 90.00°, γ = 90.00°
Last column: nearest neighbours and their distance in Å.
Space group I-42d (No. 122)
Unique sites:
Fe1 0.0000 0.0000 0.0000 (multiplicity 4)  4 Br 2.46
Pt1 0.0000 0.0000 0.5000 (multiplicity 4)  4 Br 2.60
Br1 0.2297 0.2500 0.1250 (multiplicity 8)  2 Fe 2.46, 2 Pt 2.60

Energy above the most stable polymorph in this dataset = 0.486 eV/atom
Formation energy from raw total energies = 0.44 eV/atom

[9]
Density functional theory data (GGA-PBE) for crystalline Fe2PtBr at its relaxed geometry.

a = 3.1690 Å, b = 3.1690 Å, c = 6.8294 Å
α = 90.00°, β = 90.00°, γ = 90.00°
Last column: nearest neighbours and their distance in Å.
Space group P4mm (No. 99)
Unique sites:
Fe1 0.0000 0.0000 0.0000 (multiplicity 1)  1 Pt 2.63, 4 Fe 2.64, 4 Br 2.70
Fe2 0.5000 0.5000 0.2045 (multiplicity 1)  4 Pt 2.56, 4 Fe 2.64
Pt1 0.0000 0.0000 0.3855 (multiplicity 1)  5 Fe 2.56-2.63
Br1 0.5000 0.5000 0.7796 (multiplicity 1)  5 Fe 2.70-2.90

Energy above the most stable polymorph in this dataset = 0.122 eV/atom
Formation energy from raw total energies = 0.25 eV/atom

[10]
Density functional theory data (GGA-PBE) for crystalline Fe2PtBr at its relaxed geometry.

a = 2.9647 Å, b = 2.9647 Å, c = 24.6065 Å
α = 90.00°, β = 90.00°, γ = 120.00°
Last column: nearest neighbours and their distance in Å.
Space group R-3m (No. 166, hexagonal axes)
Unique sites:
Fe1 0.0000 0.0000 0.2500 (multiplicity 6)  3 Br 2.67, 3 Pt 2.67, 6 Fe 2.96
Pt1 0.0000 0.0000 0.0000 (multiplicity 3)  6 Fe 2.67, 6 Pt 2.96
Br1 0.0000 0.0000 0.5000 (multiplicity 3)  6 Fe 2.67, 6 Br 2.96

Energy above the most stable polymorph in this dataset = 0.240 eV/atom
Formation energy from raw total energies = 0.37 eV/atom

[11]
Density functional theory data (GGA-PBE) for crystalline FePtBr2 at its relaxed geometry.

a = 6.7912 Å, b = 6.7912 Å, c = 6.7912 Å
α = 90.00°, β = 90.00°, γ = 90.00°
Last column: nearest neighbours and their distance in Å.
Space group F-43m (No. 216)
Unique sites:
Fe1 0.0000 0.0000 0.0000 (multiplicity 4)  4 Pt 2.94, 4 Br 2.94
Pt1 0.2500 0.2500 0.2500 (multiplicity 4)  4 Fe 2.94, 4 Br 2.94
Br1 0.0000 0.0000 0.5000 (multiplicity 4)  4 Br 2.94, 4 Pt 2.94
Br2 0.2500 0.2500 0.7500 (multiplicity 4)  4 Fe 2.94, 4 Br 2.94

Energy above the most stable polymorph in this dataset = 0.823 eV/atom
Formation energy from raw total energies = 0.78 eV/atom

[12]
Density functional theory data (GGA-PBE) for crystalline Fe2PtBr at its relaxed geometry.

a = 3.9846 Å, b = 3.1401 Å, c = 6.5788 Å
α = 90.00°, β = 90.22°, γ = 90.00°
Last column: nearest neighbours and their distance in Å.
Space group Pm (No. 6)
Unique sites:
Fe1 0.0000 0.0000 0.0000 (multiplicity 1)  1 Br 2.57, 2 Fe 2.58, 4 Pt 2.60
Fe2 0.0015 0.5000 0.3121 (multiplicity 1)  2 Pt 2.49, 2 Br 2.51, 2 Fe 2.58
Pt1 0.5010 0.5000 0.0846 (multiplicity 1)  6 Fe 2.49-2.60
Br1 0.0231 0.0000 0.6093 (multiplicity 1)  3 Fe 2.51-2.57

Energy above the most stable polymorph in this dataset = 0.071 eV/atom
Formation energy from raw total energies = 0.20 eV/atom

- Number 3 is which compound?
  FePtBr2